Entry 1:
Below is crystalline Ce2TmSc6 at its relaxed geometry, with properties calculated at the PBE level.

abc: 8.3163 8.3163 8.5523
angles: 116.37 116.37 82.89
Fractional coordinates of all 18 atoms:
Ce  0.0841  0.2744  0.4258
Ce  0.2744  0.0841  0.9258
Ce  0.7256  0.9159  0.0742
Ce  0.9159  0.7256  0.5742
Tm  0.3355  0.6645  0.7500
Tm  0.6645  0.3355  0.2500
Sc  0.0907  0.8304  0.0387
Sc  0.1116  0.4322  0.8623
Sc  0.1696  0.9093  0.4613
Sc  0.3058  0.4929  0.3115
Sc  0.4322  0.1116  0.3623
Sc  0.4929  0.3058  0.8115
Sc  0.5071  0.6942  0.1885
Sc  0.5678  0.8884  0.6377
Sc  0.6942  0.5071  0.6885
Sc  0.8304  0.0907  0.5387
Sc  0.8884  0.5678  0.1377
Sc  0.9093  0.1696  0.9613

## Properties
symmetry = C2/c
formation energy from the elements = 0.118 eV/atom
crystal system = monoclinic

***

Entry 2:
Below is crystalline ScAuSe2 at its relaxed geometry, with properties calculated at the PBE level.

abc: 4.8402 4.8402 4.8402
angles: 60.00 60.00 60.00
Fractional coordinates of all 4 atoms:
Sc  0.0000  0.0000  0.0000
Au  0.5000  0.5000  0.5000
Se  0.2500  0.2500  0.2500
Se  0.7500  0.7500  0.7500

## Properties
symmetry = Fm-3m
formation energy without anion corrections = -0.5882 eV per atom
crystal system = cubic

***

Entry 3:
Below is crystalline Hf3Mn5H12 at its relaxed geometry, with properties calculated at the PBE level.

abc: 9.3503 9.3503 9.3503
angles: 109.47 109.47 109.47
Fractional coordinates of all 80 atoms:
Hf  0.1250  0.2500  0.3750
Hf  0.1250  0.3750  0.7500
Hf  0.2500  0.3750  0.1250
Hf  0.2500  0.8750  0.6250
Hf  0.3750  0.1250  0.2500
Hf  0.3750  0.7500  0.1250
Hf  0.6250  0.2500  0.8750
Hf  0.6250  0.8750  0.7500
Hf  0.7500  0.1250  0.3750
Hf  0.7500  0.6250  0.8750
Hf  0.8750  0.6250  0.2500
Hf  0.8750  0.7500  0.6250
Mn  0.0000  0.0000  0.0000
Mn  0.0000  0.0000  0.5000
Mn  0.0000  0.5000  0.0000
Mn  0.0000  0.5000  0.5000
Mn  0.1250  0.7500  0.8750
Mn  0.1250  0.8750  0.2500
Mn  0.2500  0.1250  0.8750
Mn  0.2500  0.6250  0.3750
Mn  0.3750  0.2500  0.6250
Mn  0.3750  0.6250  0.7500
Mn  0.5000  0.0000  0.0000
Mn  0.5000  0.0000  0.5000
Mn  0.5000  0.5000  0.0000
Mn  0.5000  0.5000  0.5000
Mn  0.6250  0.3750  0.2500
Mn  0.6250  0.7500  0.3750
Mn  0.7500  0.3750  0.6250
Mn  0.7500  0.8750  0.1250
Mn  0.8750  0.1250  0.7500
Mn  0.8750  0.2500  0.1250
H  0.0399  0.2044  0.1223
H  0.0399  0.3356  0.9177
H  0.0823  0.6223  0.4179
H  0.0821  0.7044  0.6644
H  0.0821  0.8777  0.4177
H  0.0823  0.9601  0.6644
H  0.1223  0.0399  0.2044
H  0.1223  0.5823  0.9179
H  0.1644  0.2044  0.5821
H  0.1644  0.4601  0.5823
H  0.2044  0.1223  0.0399
H  0.2044  0.5821  0.1644
H  0.2956  0.3356  0.9179
H  0.2956  0.4601  0.3777
H  0.3356  0.9177  0.0399
H  0.3356  0.9179  0.2956
H  0.3777  0.2956  0.4601
H  0.3777  0.5821  0.9177
H  0.4179  0.0823  0.6223
H  0.4177  0.0821  0.8777
H  0.4177  0.8356  0.5399
H  0.4179  0.8356  0.7956
H  0.4601  0.3777  0.2956
H  0.4601  0.5823  0.1644
H  0.5399  0.4177  0.8356
H  0.5399  0.6223  0.7044
H  0.5821  0.1644  0.2044
H  0.5823  0.1644  0.4601
H  0.5823  0.9179  0.1223
H  0.5821  0.9177  0.3777
H  0.6223  0.4179  0.0823
H  0.6223  0.7044  0.5399
H  0.6644  0.0821  0.7044
H  0.6644  0.0823  0.9601
H  0.7044  0.5399  0.6223
H  0.7044  0.6644  0.0821
H  0.7956  0.4179  0.8356
H  0.7956  0.8777  0.9601
H  0.8356  0.5399  0.4177
H  0.8356  0.7956  0.4179
H  0.8777  0.4177  0.0821
H  0.8777  0.9601  0.7956
H  0.9177  0.0399  0.3356
H  0.9179  0.1223  0.5823
H  0.9179  0.2956  0.3356
H  0.9177  0.3777  0.5821
H  0.9601  0.6644  0.0823
H  0.9601  0.7956  0.8777

## Properties
E = -119.44 eV per formula unit
symmetry = Ia-3d
crystal system = cubic

***

Entry 4:
Below is crystalline Y2Ga2Sb at its relaxed geometry, with properties calculated at the PBE level.

abc: 8.9169 8.9169 8.9169
angles: 155.07 155.07 35.55
Fractional coordinates of all 5 atoms:
Y  0.1029  0.1029  0.0000
Y  0.8971  0.8971  0.0000
Ga  0.2500  0.7500  0.5000
Ga  0.7500  0.2500  0.5000
Sb  0.5000  0.5000  0.0000

## Properties
energy above the lowest structure with this stoichiometry = 125 meV/atom
symmetry = I4/mmm
formation energy without anion corrections = -0.5478 eV per atom
crystal system = tetragonal

***

Entry 5:
Below is crystalline AlBiAu2 at its relaxed geometry, with properties calculated at the PBE level.

abc: 7.1594 7.1594 7.1594
angles: 31.76 31.76 31.76
Fractional coordinates of all 4 atoms:
Al  0.0000  0.0000  0.0000
Bi  0.8312  0.8312  0.8312
Au  0.3980  0.3980  0.3980
Au  0.6014  0.6014  0.6014

## Properties
energy above the lowest structure with this stoichiometry = 53 meV/atom
symmetry = R3m
formation energy from the elements = -0.118 eV/atom
crystal system = trigonal

***

Entry 6:
Below is crystalline Na3Ho3InTe8 at its relaxed geometry, with properties calculated at the PBE level.

abc: 8.6562 8.6562 9.2301
angles: 118.05 118.05 59.83
Fractional coordinates of all 15 atoms:
Na  0.0000  0.0000  0.0000
Na  0.0000  0.5000  0.0000
Na  0.5000  0.0000  0.0000
Ho  0.0000  0.5000  0.5000
Ho  0.5000  0.0000  0.5000
Ho  0.5000  0.5000  0.5000
In  0.0000  0.0000  0.5000
Te  0.2425  0.7440  0.7290
Te  0.2426  0.2426  0.7290
Te  0.2562  0.2562  0.2686
Te  0.2560  0.7575  0.2710
Te  0.7440  0.2425  0.7290
Te  0.7438  0.7438  0.7314
Te  0.7574  0.7574  0.2710
Te  0.7575  0.2560  0.2710

## Properties
symmetry = C2/m
formation energy without anion corrections = -1.0307 eV per atom
crystal system = monoclinic

***

Entry 7:
Below is crystalline Ag2PS4 at its relaxed geometry, with properties calculated at the PBE level.

abc: 6.4805 6.4805 6.5572
angles: 112.72 112.72 31.39
Fractional coordinates of all 7 atoms:
Ag  0.2044  0.2044  0.1833
Ag  0.7956  0.7956  0.8167
P  0.5000  0.5000  0.5000
S  0.1232  0.1232  0.4745
S  0.4000  0.4000  0.1361
S  0.6000  0.6000  0.8639
S  0.8768  0.8768  0.5255

## Properties
energy above the lowest structure with this stoichiometry = 253 meV/atom
symmetry = C2/m
formation energy without anion corrections = 0.1933 eV per atom
crystal system = monoclinic

***

Entry 8:
Below is crystalline BeGeTeN2 at its relaxed geometry, with properties calculated at the PBE level.

abc: 3.6329 3.6329 7.3513
angles: 90.00 90.00 90.00
Fractional coordinates of all 5 atoms:
Be  0.0000  0.0000  0.0000
Ge  0.5000  0.5000  0.5000
Te  0.5000  0.5000  0.0000
N  0.0000  0.5000  0.5000
N  0.5000  0.0000  0.5000

## Properties
energy above the lowest structure with this stoichiometry = 0 meV/atom
symmetry = P4/mmm
formation energy without anion corrections = 1.2114 eV per atom
crystal system = tetragonal

***

Entry 9:
Below is crystalline TiAlInCu2 at its relaxed geometry, with properties calculated at the PBE level.

abc: 4.7033 4.7033 5.3475
angles: 90.00 90.00 90.00
Fractional coordinates of all 5 atoms:
Ti  0.0000  0.0000  0.0000
Al  0.5000  0.5000  0.5000
In  0.0000  0.0000  0.5000
Cu  0.0000  0.5000  0.0000
Cu  0.5000  0.0000  0.0000

## Properties
symmetry = P4/mmm
formation energy from the elements = 1.054 eV/atom
crystal system = tetragonal

***

Entry 10:
Below is crystalline NaGaPt2 at its relaxed geometry, with properties calculated at the PBE level.

abc: 5.8697 5.8697 5.8697
angles: 102.80 102.80 123.83
Fractional coordinates of all 8 atoms:
Na  0.0000  0.0000  0.0000
Na  0.7500  0.2500  0.5000
Ga  0.2500  0.7500  0.5000
Ga  0.5000  0.5000  0.0000
Pt  0.1745  0.1250  0.5495
Pt  0.3750  0.8255  0.9505
Pt  0.5755  0.6250  0.4505
Pt  0.8750  0.4245  0.0495

## Properties
symmetry = I-42d
formation energy from the elements = -0.187 eV/atom
crystal system = tetragonal

***

Entry 11:
Below is crystalline CdGaSn2As4 at its relaxed geometry, with properties calculated at the PBE level.

abc: 7.4269 7.3741 6.2311
angles: 65.54 64.66 49.79
Fractional coordinates of all 8 atoms:
Cd  0.0000  0.0000  0.0000
Ga  0.5001  0.5001  0.4999
Sn  0.2510  0.2510  0.2490
Sn  0.7510  0.7510  0.7490
As  0.1430  0.6181  0.8570
As  0.3786  0.8537  0.1463
As  0.6181  0.1430  0.3819
As  0.8537  0.3786  0.6214

## Properties
symmetry = Fmm2
formation energy from the elements = -0.126 eV/atom
crystal system = orthorhombic

***

Entry 12:
Below is crystalline S2IO8 at its relaxed geometry, with properties calculated at the PBE level.

abc: 5.7035 5.7035 6.4422
angles: 94.62 94.62 61.62
Fractional coordinates of all 11 atoms:
S  0.1996  0.1996  0.2073
S  0.8004  0.8004  0.7927
I  0.0000  0.0000  0.5000
O  0.0794  0.6708  0.6875
O  0.1636  0.1636  0.9857
O  0.3292  0.9206  0.3125
O  0.3432  0.3432  0.2799
O  0.6568  0.6568  0.7201
O  0.6708  0.0794  0.6875
O  0.8364  0.8364  0.0143
O  0.9206  0.3292  0.3125

## Properties
energy above the lowest structure with this stoichiometry = 0 meV/atom
symmetry = C2/m
formation energy without anion corrections = -0.7871 eV per atom
crystal system = monoclinic

***

Entry 13:
Below is crystalline Tl2TcW at its relaxed geometry, with properties calculated at the PBE level.

abc: 2.9777 2.9777 8.7184
angles: 90.00 90.00 90.00
Fractional coordinates of all 4 atoms:
Tl  0.0000  0.0000  0.2410
Tl  0.0000  0.0000  0.7590
Tc  0.5000  0.5000  0.0000
W  0.5000  0.5000  0.5000

## Properties
energy above the lowest structure with this stoichiometry = 701 meV/atom
symmetry = P4/mmm
formation energy from the elements = 1.148 eV/atom
crystal system = tetragonal

***

Entry 14:
Below is crystalline VCr3Ir3 at its relaxed geometry, with properties calculated at the PBE level.

abc: 5.9496 5.9496 5.4461
angles: 90.00 90.00 91.20
Fractional coordinates of all 14 atoms:
V  0.1641  0.1641  0.0000
V  0.8359  0.8359  0.0000
Cr  0.1484  0.8516  0.5000
Cr  0.2346  0.2346  0.5000
Cr  0.2421  0.7579  0.0000
Cr  0.7579  0.2421  0.0000
Cr  0.7654  0.7654  0.5000
Cr  0.8516  0.1484  0.5000
Ir  0.0000  0.5000  0.2546
Ir  0.0000  0.5000  0.7454
Ir  0.5000  0.0000  0.2546
Ir  0.5000  0.0000  0.7454
Ir  0.5000  0.5000  0.2511
Ir  0.5000  0.5000  0.7489

## Properties
symmetry = Cmmm
formation energy from the elements = -0.043 eV/atom
crystal system = orthorhombic

***

Entry 15:
Below is crystalline Ac8IrPt3 at its relaxed geometry, with properties calculated at the PBE level.

abc: 8.5529 8.5529 8.5529
angles: 62.95 62.95 62.95
Fractional coordinates of all 12 atoms:
Ac  0.2441  0.2441  0.2441
Ac  0.2521  0.7404  0.7404
Ac  0.2596  0.2596  0.7479
Ac  0.2596  0.7479  0.2596
Ac  0.7404  0.2521  0.7404
Ac  0.7404  0.7404  0.2521
Ac  0.7479  0.2596  0.2596
Ac  0.7559  0.7559  0.7559
Ir  0.5000  0.5000  0.5000
Pt  0.0000  0.0000  0.5000
Pt  0.0000  0.5000  0.0000
Pt  0.5000  0.0000  0.0000

## Properties
symmetry = R-3m
formation energy from the elements = -0.769 eV/atom
crystal system = trigonal

***

Entry 16:
Below is crystalline FeBRh4 at its relaxed geometry, with properties calculated at the PBE level.

abc: 6.1225 6.1225 4.6299
angles: 100.59 100.59 110.42
Fractional coordinates of all 12 atoms:
Fe  0.1200  0.8800  0.7500
Fe  0.8800  0.1200  0.2500
B  0.4989  0.5011  0.7500
B  0.5011  0.4989  0.2500
Rh  0.1176  0.2983  0.8566
Rh  0.2242  0.5563  0.4432
Rh  0.2983  0.1176  0.3566
Rh  0.4437  0.7758  0.0568
Rh  0.5563  0.2242  0.9432
Rh  0.7017  0.8824  0.6434
Rh  0.7758  0.4437  0.5568
Rh  0.8824  0.7017  0.1434

## Properties
symmetry = C2/c
formation energy from the elements = -0.046 eV/atom
crystal system = monoclinic

***

Entry 17:
Below is crystalline Y3Ag4 at its relaxed geometry, with properties calculated at the PBE level.

abc: 12.0197 12.0197 12.0197
angles: 162.08 162.08 25.45
Fractional coordinates of all 7 atoms:
Y  0.0000  0.0000  0.0000
Y  0.3003  0.3003  0.0000
Y  0.6997  0.6997  0.0000
Ag  0.1320  0.1320  0.0000
Ag  0.4324  0.4324  0.0000
Ag  0.5676  0.5676  0.0000
Ag  0.8680  0.8680  0.0000

## Properties
energy above the lowest structure with this stoichiometry = 0 meV/atom
symmetry = I4/mmm
formation energy from the elements = -0.258 eV/atom
crystal system = tetragonal

***

Entry 18:
Below is crystalline Cs3Na8Sr at its relaxed geometry, with properties calculated at the PBE level.

abc: 7.5806 7.5806 12.6210
angles: 90.00 90.00 120.00
Fractional coordinates of all 12 atoms:
Cs  0.0000  0.0000  0.0000
Cs  0.0000  0.0000  0.3787
Cs  0.3333  0.6667  0.8677
Na  0.0038  0.5019  0.1993
Na  0.3340  0.1670  0.6748
Na  0.4981  0.5019  0.1993
Na  0.4981  0.9962  0.1993
Na  0.6667  0.3333  0.4392
Na  0.6667  0.3333  0.9394
Na  0.8330  0.1670  0.6748
Na  0.8330  0.6660  0.6748
Sr  0.3333  0.6667  0.4990

## Properties
symmetry = P3m1
formation energy from the elements = 0.024 eV/atom
crystal system = trigonal

***

Entry 19:
Below is crystalline ErMnV at its relaxed geometry, with properties calculated at the PBE level.

abc: 6.2846 5.6525 4.8189
angles: 73.28 59.47 47.25
Fractional coordinates of all 6 atoms:
Er  0.1860  0.8140  0.1860
Er  0.8140  0.1860  0.8140
Mn  0.2500  0.2500  0.2500
Mn  0.7500  0.7500  0.7500
V  0.3159  0.3159  0.6841
V  0.6841  0.6841  0.3159

## Properties
energy above the lowest structure with this stoichiometry = 0 meV/atom
symmetry = Fmmm
formation energy from the elements = 0.261 eV/atom
crystal system = orthorhombic

***

Entry 20:
Below is crystalline K2WSe5 at its relaxed geometry, with properties calculated at the PBE level.

abc: 7.1820 7.1820 8.1787
angles: 114.63 114.63 46.36
Fractional coordinates of all 8 atoms:
K  0.0000  0.0000  0.0000
K  0.6211  0.6211  0.6595
W  0.7491  0.7491  0.2956
Se  0.0356  0.5027  0.0720
Se  0.1189  0.5902  0.5626
Se  0.5027  0.0356  0.0720
Se  0.5585  0.5585  0.2320
Se  0.5902  0.1189  0.5626

## Properties
symmetry = Cm
formation energy without anion corrections = -0.6181 eV per atom
crystal system = monoclinic